Below is a geometry-optimized Ac3Mg7Pd4 structure, with properties calculated at the PBE level.

Results
As for the symmetry: No. 12. The energy of formation is -0.52 eV/atom. Its total energy is -3.682 eV per atom.

POSCAR file:
```
Ac3Mg7Pd4
1.0
-3.5303 -1.9327 1.9168
-2.2414 -6.4616 -5.4594
3.5344 -8.1707 3.4547
Mg Pd Ac
7 4 3
direct
0.8335 0.4030 0.9300
0.3219 0.8460 0.5102
0.0000 0.0000 0.0000
0.4870 0.2287 0.7972
0.6781 0.1540 0.4898
0.1665 0.5970 0.0700
0.5130 0.7713 0.2028
0.8900 0.8963 0.3237
0.1100 0.1037 0.6763
0.3383 0.5596 0.7638
0.6617 0.4404 0.2362
0.3046 0.1813 0.2095
0.0000 0.5000 0.5000
0.6954 0.8187 0.7905
```



Below is a geometry-optimized HgSb2As structure, with properties calculated at the PBE level.

Results
As for the symmetry: No. 2. Its total energy is -3.244 eV per atom. Its relative energy among the computed polymorphs is 24 meV/atom. The raw formation energy is 0.221 eV per formula unit.

POSCAR file:
```
HgSb2As
1.0
4.5432 0.0092 0.0101
0.0977 7.1964 0.0265
0.1027 2.7172 6.9048
As Sb Hg
2 4 2
direct
0.8151 0.1181 0.3871
0.1849 0.8819 0.6129
0.2102 0.3622 0.1336
0.7504 0.3784 0.6154
0.7898 0.6378 0.8664
0.2496 0.6216 0.3846
0.2515 0.1055 0.8691
0.7485 0.8945 0.1309
```



Below is a geometry-optimized YCrCl2 structure, with properties calculated at the PBE level.

Results
As for the symmetry: No. 71. Its total energy is -5.655 eV per atom. Its relative energy among the computed polymorphs is 109 meV/atom. The raw formation energy is -2.840 eV per formula unit.

POSCAR file:
```
YCrCl2
1.0
7.1914 0.2183 -0.0084
4.0242 5.9640 0.0084
-5.0110 -4.1739 3.0385
Y Cr Cl
1 1 2
direct
0.2500 0.7500 0.5000
0.7500 0.2500 0.5000
0.0993 0.0993 0.0000
0.4007 0.4007 0.0000
```



Below is a geometry-optimized LiHgAu2 structure, with properties calculated at the PBE level.

Results
As for the symmetry: No. 12. The energy of formation is -0.23 eV/atom. Its total energy is -2.424 eV per atom.

POSCAR file:
```
LiHgAu2
1.0
-2.9724 -4.1723 -0.1245
-0.1510 -5.1110 0.3363
-0.9996 -0.6005 4.8962
Au Hg Li
2 1 1
direct
0.4856 0.4856 0.5162
0.0144 0.0144 0.9838
0.2500 0.2500 0.2500
0.7500 0.7500 0.7500
```



Below is a geometry-optimized Mg3Ga2Cu9Si structure, with properties calculated at the PBE level.

Results
As for the symmetry: No. 164. Its total energy is -3.311 eV per atom. The raw formation energy is 3.465 eV per formula unit.

POSCAR file:
```
Mg3Ga2Cu9Si
1.0
6.3628 0.0000 0.0000
-3.1814 5.5103 0.0000
0.0000 0.0000 7.4549
Ga Cu Si Mg
2 9 1 3
direct
0.6667 0.3333 0.7851
0.3333 0.6667 0.2149
0.1337 0.8663 0.2751
0.5000 0.5000 0.0000
0.8663 0.7327 0.7249
0.8663 0.1337 0.7249
0.1337 0.2673 0.2751
0.7327 0.8663 0.2751
0.2673 0.1337 0.7249
0.5000 0.0000 0.0000
0.0000 0.5000 0.0000
0.0000 0.0000 0.5000
0.6667 0.3333 0.3528
0.0000 0.0000 0.0000
0.3333 0.6667 0.6472
```